A plane-wave DFT calculation with PBE was carried out for crystalline Tm12In3Pd at its relaxed geometry.

a b c (Å): 4.7843 4.7843 18.6706
angles (deg): 90.00 90.00 90.00
Last column: nearest neighbours and their distance in Å.
Element x y z (fractional)
Tm: 0.0000 0.5000 0.1134  8 Tm 3.19-3.40, 2 Pd 3.19, 2 In 3.42
Tm: 0.5000 0.5000 0.2425  4 In 3.38, 8 Tm 3.40-3.41
Tm: 0.0000 0.5000 0.8866  8 Tm 3.19-3.40, 2 Pd 3.19, 2 In 3.42
Tm: 0.5000 0.0000 0.1134  8 Tm 3.19-3.40, 2 Pd 3.19, 2 In 3.42
Tm: 0.5000 0.0000 0.6274  8 Tm 3.37-3.41, 4 In 3.37-3.38
Tm: 0.0000 0.5000 0.6274  8 Tm 3.37-3.41, 4 In 3.37-3.38
Tm: 0.0000 0.5000 0.3726  4 In 3.37-3.38, 8 Tm 3.37-3.41
Tm: 0.5000 0.0000 0.8866  8 Tm 3.19-3.40, 2 Pd 3.19, 2 In 3.42
Tm: 0.5000 0.5000 0.7575  4 In 3.38, 8 Tm 3.40-3.41
Tm: 0.5000 0.0000 0.3726  4 In 3.37-3.38, 8 Tm 3.37-3.41
Tm: 0.5000 0.5000 0.0000  8 Tm 3.19, 4 Pd 3.38
Tm: 0.5000 0.5000 0.5000  8 Tm 3.37, 4 In 3.38
In: 0.0000 0.0000 0.7556  12 Tm 3.38-3.42
In: 0.0000 0.0000 0.5000  12 Tm 3.37-3.38
In: 0.0000 0.0000 0.2444  12 Tm 3.38-3.42
Pd: 0.0000 0.0000 0.0000  12 Tm 3.19-3.38

Calculated values
Space-group type: P4/mmm


A plane-wave DFT calculation with PBE was carried out for crystalline Tm2In5Pd at its relaxed geometry.

a b c (Å): 3.5931 7.9568 13.4610
angles (deg): 90.00 90.00 90.00
Last column: nearest neighbours and their distance in Å.
Element x y z (fractional)
In: 0.0000 0.0000 0.0000  6 In 3.13-3.40, 4 Tm 3.26
In: 0.5000 0.6986 0.1192  2 Pd 2.88, 2 In 3.17
In: 0.0000 0.0132 0.7674  5 In 3.13-3.29, 4 Tm 3.16-3.25
In: 0.5000 0.3014 0.8808  2 Pd 2.88, 2 In 3.17
In: 0.0000 0.9868 0.2326  5 In 3.13-3.29, 4 Tm 3.16-3.25
In: 0.5000 0.8014 0.6192  2 Pd 2.88, 2 In 3.17
In: 0.0000 0.4868 0.2674  5 In 3.13-3.29, 4 Tm 3.16-3.25
In: 0.0000 0.5132 0.7326  5 In 3.13-3.29, 4 Tm 3.16-3.25
In: 0.0000 0.5000 0.5000  6 In 3.13-3.40, 4 Tm 3.26
In: 0.5000 0.1986 0.3808  2 Pd 2.88, 2 In 3.17
Pd: 0.0000 0.5000 0.0000  4 In 2.88, 4 Tm 3.04
Pd: 0.0000 0.0000 0.5000  4 In 2.88, 4 Tm 3.04
Tm: 0.5000 0.7288 0.8777  2 Pd 3.04, 8 In 3.16-3.40
Tm: 0.5000 0.2712 0.1223  2 Pd 3.04, 8 In 3.16-3.40
Tm: 0.5000 0.7712 0.3777  2 Pd 3.04, 8 In 3.16-3.40
Tm: 0.5000 0.2288 0.6223  2 Pd 3.04, 8 In 3.16-3.40

Calculated values
Space-group type: Pbam


A plane-wave DFT calculation with PBE was carried out for crystalline TmIn2Pd4 at its relaxed geometry.

a b c (Å): 5.1309 5.1309 6.2931
angles (deg): 104.85 104.85 111.81
Last column: nearest neighbours and their distance in Å.
Element x y z (fractional)
Pd: 0.3754 0.8754 0.7507  2 In 2.70, 4 Pd 2.79-2.88, 2 Tm 2.92
Pd: 0.1246 0.6246 0.2493  2 In 2.70, 4 Pd 2.79-2.88, 2 Tm 2.92
Pd: 0.6246 0.1246 0.2493  2 In 2.70, 4 Pd 2.79-2.88, 2 Tm 2.92
Pd: 0.8754 0.3754 0.7507  2 In 2.70, 4 Pd 2.79-2.88, 2 Tm 2.92
In: 0.6999 0.6999 0.3998  4 Pd 2.70
In: 0.3001 0.3001 0.6002  4 Pd 2.70
Tm: 0.0000 0.0000 0.0000  8 Pd 2.92

Calculated values
Space-group type: Fmmm


Ordered ΔE_f results: -0.244 -0.371 -0.563; unit eV/atom.